# 1
This record from Alexandria via LeMat-Bulk describes a relaxed Ta5Cr crystal. The functional is GGA-PBE.

The space group is Cmmm (No. 65) and the conventional cell measures 3.250, 13.666 and 4.651 Å, with angles of 90.00, 90.00 and 90.00 degrees. The asymmetric unit holds Ta at (0.000, 0.000, 0.000), Ta at (0.000, 0.157, 0.500), Ta at (0.000, 0.334, 0.000) and Cr at (0.000, 0.500, 0.500).

The value obtained for the formation energy is 0.039 eV per atom. The density comes out at 15.4 g/cm3.

# 2
This record from Alexandria via LeMat-Bulk describes a relaxed Ta5Cr crystal. The functional is GGA-PBE.

The space group is C2/m (No. 12) and the conventional cell measures 10.316, 3.228 and 6.524 Å, with angles of 90.00, 108.03 and 90.00 degrees. The asymmetric unit holds Ta at (0.000, 0.000, 0.000), Ta at (0.158, 0.500, 0.341), Ta at (0.163, 0.500, 0.820) and Cr at (0.000, 0.000, 0.500).

The value obtained for the formation energy is 0.027 eV per atom. The density comes out at 15.4 g/cm3.